(1)
A plane-wave DFT calculation with PBE-GGA was carried out for crystalline YCrSi at its relaxed geometry.

abc: 3.2805 3.2805 10.0233
angles: 90.00 90.00 90.00
Last column: nearest neighbours and their distance in Å.
Space group I4mm (No. 107)
Symmetry-distinct sites (fractional):
Y (0.0000, 0.0000, 0.0000) [2 per cell]  5 Si 2.93-3.12, 5 Cr 2.96-3.10, 4 Y 3.28
Cr (0.0000, 0.0000, 0.7048) [2 per cell]  4 Si 2.48
Si (0.0000, 0.0000, 0.2923) [2 per cell]  4 Cr 2.48

Values from the calculation:
The calculation puts the total energy at -43.68 eV for the cell shown. The total magnetic moment comes out at 2.32 μB per cell.



(2)
A plane-wave DFT calculation with PBE-GGA was carried out for crystalline YCrSi2 at its relaxed geometry.

abc: 3.7271 3.9877 9.8428
angles: 90.00 90.00 90.00
Last column: nearest neighbours and their distance in Å.
Space group Amm2 (No. 38)
Symmetry-distinct sites (fractional):
Y (0.0000, 0.0000, 0.0000) [2 per cell]  7 Si 2.73-2.96
Cr (0.5000, 0.0000, 0.2740) [2 per cell]  7 Si 2.77-2.87
Si (0.0000, 0.0000, 0.7230) [2 per cell]  2 Si 2.42
Si (0.5000, 0.0000, 0.5660) [2 per cell]  2 Si 2.42

Values from the calculation:
The calculation puts the total energy at -55.94 eV for the cell shown. The total magnetic moment comes out at 5.95 μB per cell.



(3)
A plane-wave DFT calculation with PBE-GGA was carried out for crystalline YCrSi at its relaxed geometry.

abc: 6.4676 6.4676 6.4676
angles: 90.00 90.00 90.00
Last column: nearest neighbours and their distance in Å.
Space group F-43m (No. 216)
Symmetry-distinct sites (fractional):
Y (0.0000, 0.0000, 0.0000) [4 per cell]  4 Si 2.80
Cr (0.0000, 0.0000, 0.5000) [4 per cell]  4 Si 2.80
Si (0.2500, 0.2500, 0.2500) [4 per cell]  4 Cr 2.80, 4 Y 2.80

Values from the calculation:
The calculation puts the total energy at -86.53 eV for the cell shown. The total magnetic moment comes out at 16.99 μB per cell.



(4)
A plane-wave DFT calculation with PBE-GGA was carried out for crystalline YCrSi2 at its relaxed geometry.

abc: 3.2096 3.2096 6.5657
angles: 90.00 90.00 90.00
Last column: nearest neighbours and their distance in Å.
Space group P4mm (No. 99)
Symmetry-distinct sites (fractional):
Y (0.0000, 0.0000, 0.0000) [1 per cell]  5 Si 3.06-3.08, 4 Cr 3.10, 4 Y 3.21
Cr (0.5000, 0.5000, 0.3212) [1 per cell]  5 Si 2.37-2.46
Si (0.0000, 0.0000, 0.4656) [1 per cell]  4 Cr 2.46, 4 Si 2.68
Si (0.5000, 0.5000, 0.6829) [1 per cell]  1 Cr 2.37

Values from the calculation:
The calculation puts the total energy at -27.30 eV for the cell shown. The total magnetic moment comes out at 1.14 μB per cell.



(5)
A plane-wave DFT calculation with PBE-GGA was carried out for crystalline YCrSi2 at its relaxed geometry.

abc: 7.7810 3.4323 6.2466
angles: 90.00 119.29 90.00
Last column: nearest neighbours and their distance in Å.
Space group Cm (No. 8)
Symmetry-distinct sites (fractional):
Y (0.0000, 0.0000, 0.0000) [2 per cell]  6 Si 2.88-3.11, 3 Cr 2.99-3.12
Cr (0.2132, 0.0000, 0.5485) [2 per cell]  6 Si 2.41-2.53
Si (0.0648, 0.5000, 0.6756) [2 per cell]  3 Cr 2.41-2.45, 2 Si 2.48
Si (0.3514, 0.5000, 0.3766) [2 per cell]  3 Cr 2.47-2.53, 2 Si 2.48

Values from the calculation:
The calculation puts the total energy at -55.95 eV for the cell shown. The total magnetic moment comes out at 1.94 μB per cell.



(6)
A plane-wave DFT calculation with PBE-GGA was carried out for crystalline YCrSi2 at its relaxed geometry.

abc: 4.2046 4.2046 4.0132
angles: 90.00 90.00 90.00
Last column: nearest neighbours and their distance in Å.
Space group P4/mmm (No. 123)
Symmetry-distinct sites (fractional):
Y (0.0000, 0.0000, 0.0000) [1 per cell]  8 Si 2.91, 4 Cr 2.97
Cr (0.5000, 0.5000, 0.0000) [1 per cell]  8 Si 2.91, 4 Y 2.97
Si (0.0000, 0.5000, 0.5000) [2 per cell]  4 Cr 2.91, 4 Y 2.91, 4 Si 2.97

Values from the calculation:
The calculation puts the total energy at -27.31 eV for the cell shown. The total magnetic moment comes out at 3.50 μB per cell.



(7)
A plane-wave DFT calculation with PBE-GGA was carried out for crystalline YCrSi at its relaxed geometry.

abc: 6.6647 6.6647 6.6647
angles: 90.00 90.00 90.00
Last column: nearest neighbours and their distance in Å.
Space group F-43m (No. 216)
Symmetry-distinct sites (fractional):
Y (0.0000, 0.0000, 0.0000) [4 per cell]  4 Cr 2.89, 4 Si 2.89
Cr (0.2500, 0.2500, 0.2500) [4 per cell]  4 Y 2.89
Si (0.2500, 0.2500, 0.7500) [4 per cell]  4 Y 2.89

Values from the calculation:
The calculation puts the total energy at -78.80 eV for the cell shown. The total magnetic moment comes out at 18.42 μB per cell.



(8)
A plane-wave DFT calculation with PBE-GGA was carried out for crystalline YCrSi2 at its relaxed geometry.

abc: 3.6105 3.9174 10.6009
angles: 90.00 90.00 90.00
Last column: nearest neighbours and their distance in Å.
Space group Imm2 (No. 44)
Symmetry-distinct sites (fractional):
Y (0.0000, 0.0000, 0.0000) [2 per cell]  6 Si 2.87-3.16
Cr (0.0000, 0.5000, 0.7555) [2 per cell]  6 Si 2.55-2.66
Si (0.0000, 0.0000, 0.6011) [2 per cell]  2 Si 2.44, 2 Cr 2.55
Si (0.0000, 0.5000, 0.2558) [2 per cell]  2 Si 2.44, 4 Cr 2.66

Values from the calculation:
The calculation puts the total energy at -55.34 eV for the cell shown. The total magnetic moment comes out at 6.69 μB per cell.



Number 1: ρ 5203 kg/m³, raw formation energy -0.110 eV per atom. Number 2: ρ 4474 kg/m³, raw formation energy -0.259 eV per atom. Number 3: ρ 4149 kg/m³, raw formation energy -0.040 eV per atom. Number 4: ρ 4838 kg/m³, raw formation energy -0.091 eV per atom. Number 5: ρ 4498 kg/m³, raw formation energy -0.260 eV per atom. Number 6: ρ 4613 kg/m³, raw formation energy -0.095 eV per atom. Number 7: ρ 3792 kg/m³, raw formation energy 0.603 eV per atom. Number 8: ρ 4365 kg/m³, raw formation energy -0.184 eV per atom.